No. 1
## TaBe2H (PBE-GGA)

Data for crystalline TaBe2H at its relaxed geometry.

Cell lengths 6.688, 6.688, 6.688 Å; angles 90.00, 90.00, 90.00 degrees
Space group Fd-3m (No. 227, origin choice 2)
Unique sites:
Ta1 0.125 0.125 0.125 [8 per cell]
Be1 0.000 0.000 0.500 [16 per cell]
H1 0.125 0.125 0.625 [8 per cell]



No. 2
## TaBeH (PBE-GGA)

Data for crystalline TaBeH at its relaxed geometry.

Cell lengths 3.452, 9.249, 3.462 Å; angles 90.00, 90.00, 90.00 degrees
Space group Cmcm (No. 63)
Unique sites:
Ta1 0.000 0.144 0.250 [4 per cell]
Be1 0.000 0.439 0.250 [4 per cell]
H1 0.000 0.247 0.750 [4 per cell]



no.,electronic total energy (eV per atom)
1,-5.53
2,-6.61